Run w
Compound: LiCd3Ge
Source: Alexandria
Functional: PBE-GGA
Structure: relaxed

Geometry as POSCAR:
```
LiCd3Ge
1.0
5.286 0.000 0.000
0.000 5.286 0.000
0.000 0.000 5.286
Li Cd Ge
1 3 1
Cartesian
0.000 0.000 0.000
0.000 2.643 2.643
2.643 0.000 2.643
2.643 2.643 0.000
2.643 2.643 2.643
```

Output
calculated density	4.69	Mg/m³
spin magnetization	0.0	μB/f.u.

Run x
Compound: LiCd3Ge
Source: Alexandria
Functional: PBE-GGA
Structure: relaxed

Geometry as POSCAR:
```
LiCd3Ge
1.0
4.828 0.000 0.000
0.000 4.828 0.000
0.000 0.000 4.828
Li Cd Ge
1 3 1
Cartesian
0.000 0.000 0.000
0.000 0.000 2.414
0.000 2.414 0.000
2.414 0.000 0.000
2.414 2.414 2.414
```

Output
calculated density	6.15	Mg/m³
spin magnetization	0.0	μB/f.u.

Most stable structure among those shown: run w. Next: +66 meV/atom.